[1]
First-principles (PBE-GGA) data for crystalline Ti3InPd6 at its relaxed geometry, as listed in Alexandria via LeMat-Bulk.

Cell: 9.824 13.421 5.092 Å, 90.00 90.00 90.00°
Space group Cmc2_1 (No. 36)
Unique sites:
Ti 0.000 0.115 0.000 [4 per cell]
Ti 0.198 0.404 0.371 [8 per cell]
In 0.000 0.323 0.990 [4 per cell]
Pd 0.000 0.242 0.491 [4 per cell]
Pd 0.000 0.475 0.659 [4 per cell]
Pd 0.140 0.050 0.496 [8 per cell]
Pd 0.249 0.213 0.252 [8 per cell]

Results
Energy of formation from the pure elements (eV/atom): -0.3634
Distance to the lowest polymorph of the same formula (meV per atom): 196

[2]
First-principles (PBE-GGA) data for crystalline La4Sm2Dy at its relaxed geometry, as listed in Alexandria via LeMat-Bulk.

Cell: 6.972 11.683 12.312 Å, 90.00 90.00 90.00°
Space group Imma (No. 74)
Unique sites:
La 0.000 0.003 0.149 [8 per cell]
La 0.219 0.250 0.993 [8 per cell]
Sm 0.000 0.000 0.500 [4 per cell]
Sm 0.000 0.250 0.717 [4 per cell]
Dy 0.250 0.250 0.250 [4 per cell]

Results
Energy of formation from the pure elements (eV/atom): 0.2047
Distance to the lowest polymorph of the same formula (meV per atom): 184

[3]
First-principles (PBE-GGA) data for crystalline Tl5Bi6 at its relaxed geometry, as listed in Alexandria via LeMat-Bulk.

Cell: 10.127 13.401 5.982 Å, 90.00 114.56 90.00°
Space group C2/m (No. 12)
Unique sites:
Tl 0.000 0.000 0.000 [2 per cell]
Tl 0.000 0.138 0.500 [4 per cell]
Tl 0.000 0.275 0.000 [4 per cell]
Bi 0.174 0.380 0.621 [8 per cell]
Bi 0.182 0.500 0.125 [4 per cell]

Results
Energy of formation from the pure elements (eV/atom): 0.0159

[4]
First-principles (PBE-GGA) data for crystalline KLi2Ta at its relaxed geometry, as listed in Alexandria via LeMat-Bulk.

Cell: 7.616 7.616 7.616 Å, 90.00 90.00 90.00°
Space group F-43m (No. 216)
Unique sites:
K 0.000 0.000 0.000 [4 per cell]
Li 0.000 0.000 0.500 [4 per cell]
Li 0.250 0.250 0.250 [4 per cell]
Ta 0.250 0.250 0.750 [4 per cell]

Results
Energy of formation from the pure elements (eV/atom): 1.3907
Distance to the lowest polymorph of the same formula (meV per atom): 759

[5]
First-principles (PBE-GGA) data for crystalline SmDy3Er5 at its relaxed geometry, as listed in Alexandria via LeMat-Bulk.

Cell: 16.675 7.921 12.174 Å, 90.00 130.65 90.00°
Space group C2/m (No. 12)
Unique sites:
Sm 0.236 0.000 0.128 [4 per cell]
Dy 0.000 0.000 0.000 [2 per cell]
Dy 0.000 0.500 0.500 [2 per cell]
Dy 0.120 0.500 0.313 [4 per cell]
Dy 0.176 0.000 0.341 [4 per cell]
Er 0.000 0.321 0.000 [4 per cell]
Er 0.065 0.206 0.781 [8 per cell]
Er 0.123 0.000 0.565 [4 per cell]
Er 0.201 0.500 0.072 [4 per cell]

Results
Energy of formation from the pure elements (eV/atom): 0.4221
Distance to the lowest polymorph of the same formula (meV per atom): 93

[6]
First-principles (PBE-GGA) data for crystalline MnAgCl2 at its relaxed geometry, as listed in Alexandria via LeMat-Bulk.

Cell: 3.738 3.738 12.149 Å, 90.00 90.00 90.00°
Space group I-4m2 (No. 119)
Unique sites:
Mn 0.000 0.000 0.000 [2 per cell]
Ag 0.000 0.500 0.750 [2 per cell]
Cl 0.000 0.000 0.500 [2 per cell]
Cl 0.000 0.500 0.250 [2 per cell]

Results
Distance to the lowest polymorph of the same formula (meV per atom): 365

[7]
First-principles (PBE-GGA) data for crystalline Pr3InPb at its relaxed geometry, as listed in Alexandria via LeMat-Bulk.

Cell: 16.707 6.621 11.642 Å, 90.00 100.74 90.00°
Space group C2/c (No. 15)
Unique sites:
Pr 0.056 0.232 0.487 [8 per cell]
Pr 0.144 0.290 0.954 [8 per cell]
Pr 0.206 0.018 0.240 [8 per cell]
In 0.084 0.449 0.211 [8 per cell]
Pb 0.000 0.059 0.750 [4 per cell]
Pb 0.250 0.250 0.500 [4 per cell]

Results
Energy of formation from the pure elements (eV/atom): -0.3881

[8]
First-principles (PBE-GGA) data for crystalline Te2RuSeI at its relaxed geometry, as listed in Alexandria via LeMat-Bulk.

Cell: 5.471 5.471 5.560 Å, 90.00 90.00 90.00°
Space group P4/mmm (No. 123)
Unique sites:
Te 0.000 0.500 0.000 [2 per cell]
Ru 0.000 0.000 0.500 [1 per cell]
Se 0.500 0.500 0.000 [1 per cell]
I 0.500 0.500 0.500 [1 per cell]

Results
Distance to the lowest polymorph of the same formula (meV per atom): 675

[9]
First-principles (PBE-GGA) data for crystalline LaFe2RuRh at its relaxed geometry, as listed in Alexandria via LeMat-Bulk.

Cell: 4.497 4.497 4.763 Å, 90.00 90.00 90.00°
Space group P4/mmm (No. 123)
Unique sites:
La 0.000 0.000 0.000 [1 per cell]
Fe 0.000 0.500 0.000 [2 per cell]
Ru 0.500 0.500 0.500 [1 per cell]
Rh 0.000 0.000 0.500 [1 per cell]

Results
Energy of formation from the pure elements (eV/atom): 1.8332

[10]
First-principles (PBE-GGA) data for crystalline KZnRu2 at its relaxed geometry, as listed in Alexandria via LeMat-Bulk.

Cell: 2.745 4.523 6.786 Å, 90.00 99.13 90.00°
Space group P2/m (No. 10)
Unique sites:
K 0.000 0.000 0.000 [1 per cell]
Zn 0.500 0.000 0.500 [1 per cell]
Ru 0.290 0.500 0.658 [2 per cell]

Results
Energy of formation from the pure elements (eV/atom): 0.7893

[11]
First-principles (PBE-GGA) data for crystalline Li2HfCo at its relaxed geometry, as listed in Alexandria via LeMat-Bulk.

Cell: 3.538 3.538 20.476 Å, 90.00 90.00 90.00°
Space group I-42d (No. 122)
Unique sites:
Li 0.215 0.250 0.125 [8 per cell]
Hf 0.000 0.000 0.500 [4 per cell]
Co 0.000 0.000 0.000 [4 per cell]

Results
Energy of formation from the pure elements (eV/atom): 0.1728
Distance to the lowest polymorph of the same formula (meV per atom): 0

[12]
First-principles (PBE-GGA) data for crystalline LaTh2Ir9 at its relaxed geometry, as listed in Alexandria via LeMat-Bulk.

Cell: 5.3881 5.3881 26.6921 Å, 90.00 90.00 120.00°
Space group R-3m (No. 166, hexagonal axes)
Unique sites:
La 0.0000 0.0000 0.0000 [3 per cell]
Th 0.0000 0.0000 0.1380 [6 per cell]
Ir 0.0000 0.0000 0.3326 [6 per cell]
Ir 0.0000 0.0000 0.5000 [3 per cell]
Ir 0.0002 0.5001 0.0818 [18 per cell]

Results
Energy of formation from the pure elements (eV/atom): -0.6289

[13]
First-principles (PBE-GGA) data for crystalline RbGaAs at its relaxed geometry, as listed in Alexandria via LeMat-Bulk.

Cell: 3.747 3.747 12.415 Å, 90.00 90.00 90.00°
Space group I4mm (No. 107)
Unique sites:
Rb 0.000 0.000 0.000 [2 per cell]
Ga 0.000 0.000 0.275 [2 per cell]
As 0.000 0.000 0.716 [2 per cell]

Results
Energy of formation from the pure elements (eV/atom): -0.1235
Distance to the lowest polymorph of the same formula (meV per atom): 277

[14]
First-principles (PBE-GGA) data for crystalline AcInBr at its relaxed geometry, as listed in Alexandria via LeMat-Bulk.

Cell: 8.200 4.739 11.763 Å, 90.00 92.30 90.00°
Space group C2/m (No. 12)
Unique sites:
Ac 0.012 0.000 0.201 [4 per cell]
In 0.164 0.500 0.961 [4 per cell]
Br 0.187 0.500 0.350 [4 per cell]

Results
DFT total energy (eV/atom): -3.99

[15]
First-principles (PBE-GGA) data for crystalline LaCdAg2 at its relaxed geometry, as listed in Alexandria via LeMat-Bulk.

Cell: 4.785 4.785 19.477 Å, 90.00 90.00 90.00°
Space group I-42d (No. 122)
Unique sites:
La 0.000 0.000 0.000 [4 per cell]
Cd 0.000 0.000 0.500 [4 per cell]
Ag 0.153 0.250 0.625 [8 per cell]

Results
Energy of formation from the pure elements (eV/atom): 0.0721

[16]
First-principles (PBE-GGA) data for crystalline Cs2InCuI6 at its relaxed geometry, as listed in Alexandria via LeMat-Bulk.

Cell: 11.778 11.778 11.778 Å, 90.00 90.00 90.00°
Space group Fm-3m (No. 225)
Unique sites:
Cs 0.250 0.250 0.250 [8 per cell]
In 0.000 0.000 0.000 [4 per cell]
Cu 0.000 0.000 0.500 [4 per cell]
I 0.000 0.000 0.257 [24 per cell]

Results
DFT total energy (eV/atom): -2.59

[17]
First-principles (PBE-GGA) data for crystalline LiHo2ErSe5 at its relaxed geometry, as listed in Alexandria via LeMat-Bulk.

Cell: 4.033 16.881 12.347 Å, 90.00 90.00 90.00°
Space group Cmc2_1 (No. 36)
Unique sites:
Li 0.000 0.013 0.000 [4 per cell]
Ho 0.000 0.375 0.810 [4 per cell]
Ho 0.000 0.393 0.203 [4 per cell]
Er 0.000 0.304 0.520 [4 per cell]
Se 0.000 0.000 0.304 [4 per cell]
Se 0.000 0.138 0.520 [4 per cell]
Se 0.000 0.193 0.859 [4 per cell]
Se 0.000 0.215 0.182 [4 per cell]
Se 0.000 0.454 0.595 [4 per cell]

Results
DFT total energy (eV/atom): -5.35

[18]
First-principles (PBE-GGA) data for crystalline Li2Cd5Cl12 at its relaxed geometry, as listed in Alexandria via LeMat-Bulk.

Cell: 14.467 7.411 9.388 Å, 90.00 99.90 90.00°
Space group C2/m (No. 12)
Unique sites:
Li 0.000 0.243 0.000 [4 per cell]
Cd 0.000 0.500 0.500 [2 per cell]
Cd 0.094 0.000 0.349 [4 per cell]
Cd 0.214 0.500 0.959 [4 per cell]
Cl 0.044 0.500 0.833 [4 per cell]
Cl 0.045 0.000 0.840 [4 per cell]
Cl 0.130 0.260 0.516 [8 per cell]
Cl 0.184 0.241 0.143 [8 per cell]

Results
DFT total energy (eV/atom): -2.77

[19]
First-principles (PBE-GGA) data for crystalline SrAlCo2 at its relaxed geometry, as listed in Alexandria via LeMat-Bulk.

Cell: 2.938 4.874 9.865 Å, 90.00 90.00 90.00°
Space group Imm2 (No. 44)
Unique sites:
Sr 0.000 0.000 0.000 [2 per cell]
Al 0.000 0.500 0.798 [2 per cell]
Co 0.000 0.000 0.512 [2 per cell]
Co 0.000 0.500 0.207 [2 per cell]

Results
Energy of formation from the pure elements (eV/atom): 0.3667

[20]
First-principles (PBE-GGA) data for crystalline RbBa2CeO4 at its relaxed geometry, as listed in Alexandria via LeMat-Bulk.

Cell: 7.602 7.664 11.191 Å, 90.00 90.00 90.00°
Space group Imma (No. 74)
Unique sites:
Rb 0.000 0.000 0.000 [4 per cell]
Ba 0.000 0.000 0.500 [4 per cell]
Ba 0.250 0.250 0.250 [4 per cell]
Ce 0.250 0.250 0.750 [4 per cell]
O 0.000 0.027 0.745 [8 per cell]
O 0.237 0.250 0.550 [8 per cell]

Results
DFT total energy (eV/atom): -6.22